Entry 1:
DFT (PBE) results for Li5Zn2Pd4 after structural relaxation.

Calculated values
energy above the most stable polymorph in this dataset = 94 meV/atom
space group = Immm (71)

Lattice parameters (Å, degrees): 2.768 7.944 9.269 115.37 98.59 90.00
Atoms (fractional coordinates):
Li1 0.162 0.399 0.325
Li2 0.838 0.601 0.675
Li3 0.162 0.926 0.325
Li4 0.500 0.000 0.000
Li5 0.838 0.074 0.675
Zn1 0.417 0.417 0.834
Zn2 0.583 0.583 0.166
Pd1 0.733 0.733 0.467
Pd2 0.000 0.280 0.000
Pd3 0.267 0.267 0.533
Pd4 0.000 0.720 0.000

---

Entry 2:
DFT (PBE) results for Sm8PdPt2 after structural relaxation.

Calculated values
energy above the most stable polymorph in this dataset = 0 meV/atom
space group = C2/m (12)

Lattice parameters (Å, degrees): 5.051 6.979 9.225 100.03 105.89 90.00
Atoms (fractional coordinates):
Sm1 0.411 0.551 0.823
Sm2 0.666 0.969 0.332
Sm3 0.796 0.666 0.592
Sm4 0.966 0.225 0.932
Sm5 0.204 0.334 0.408
Sm6 0.334 0.031 0.668
Sm7 0.589 0.449 0.177
Sm8 0.034 0.775 0.068
Pd1 0.500 0.000 0.000
Pt1 0.802 0.260 0.604
Pt2 0.198 0.740 0.396

---

Entry 3:
DFT (PBE) results for FeCoMo4 after structural relaxation.

Calculated values
space group = F-43m (216)
VASP energy = -55.2 eV/cell

Lattice parameters (Å, degrees): 5.121 5.121 5.121 60.00 60.00 60.00
Each line ends with the local moment (μB).
Atoms (fractional coordinates):
Fe1 0.000 0.000 0.000  2.62
Co1 0.750 0.750 0.750  1.36
Mo1 0.876 0.375 0.375  -0.07
Mo2 0.375 0.375 0.876  -0.07
Mo3 0.375 0.876 0.375  -0.07
Mo4 0.375 0.375 0.375  -0.07

---

Entry 4:
DFT (PBE) results for Ba2NdSb3Rh4 after structural relaxation.

Calculated values
space group = P-4m2 (115)
ΔE_f (raw) = -0.73 eV/atom

Lattice parameters (Å, degrees): 4.643 4.643 11.330 90.00 90.00 90.00
Atoms (fractional coordinates):
Ba1 0.500 0.000 0.237
Ba2 0.000 0.500 0.763
Nd1 0.500 0.500 0.500
Sb1 0.000 0.000 0.500
Sb2 0.500 0.000 0.880
Sb3 0.000 0.500 0.120
Rh1 0.500 0.500 0.000
Rh2 0.000 0.000 0.000
Rh3 0.500 0.000 0.643
Rh4 0.000 0.500 0.357

---

Entry 5:
DFT (PBE) results for BaPa3Cr4N12 after structural relaxation.

Calculated values
space group = R32 (155)
ΔE_f (raw) = -0.65 eV/atom

Lattice parameters (Å, degrees): 7.182 7.182 7.182 104.53 104.53 104.53
Each line ends with the local moment (μB).
Atoms (fractional coordinates):
Ba1 0.000 0.000 0.000  0.01
Pa1 0.552 0.448 0.000  0.07
Pa2 0.448 0.000 0.552  0.07
Pa3 0.000 0.552 0.448  0.07
Cr1 0.947 0.053 0.500  1.09
Cr2 0.053 0.500 0.947  1.09
Cr3 0.500 0.947 0.053  1.09
Cr4 0.500 0.500 0.500  1.67
N1 0.500 0.344 0.656  -0.07
N2 0.898 0.500 0.102  -0.06
N3 0.102 0.898 0.500  -0.06
N4 0.500 0.102 0.898  -0.06
N5 0.369 0.963 0.220  -0.07
N6 0.220 0.369 0.963  -0.07
N7 0.963 0.220 0.369  -0.07
N8 0.631 0.780 0.037  -0.07
N9 0.037 0.631 0.780  -0.07
N10 0.780 0.037 0.631  -0.07
N11 0.656 0.500 0.344  -0.07
N12 0.344 0.656 0.500  -0.07

---

Entry 6:
DFT (PBE) results for CePa2Hg after structural relaxation.

Calculated values
energy above the most stable polymorph in this dataset = 101 meV/atom
space group = R-3m (166)

Lattice parameters (Å, degrees): 5.164 5.164 5.178 60.09 60.09 60.00
Each line ends with the local moment (μB).
Atoms (fractional coordinates):
Pa1 0.249 0.249 0.253  0.20
Pa2 0.751 0.751 0.747  0.20
Hg1 0.000 0.000 0.000  0.00
Ce1 0.500 0.500 0.500  0.22

---

Entry 7:
DFT (PBE) results for TaPt2Se after structural relaxation.

Calculated values
space group = P4/mmm (123)
ΔE_f (raw) = 0.01 eV/atom

Lattice parameters (Å, degrees): 4.978 4.978 2.791 90.00 90.00 90.00
Atoms (fractional coordinates):
Pt1 0.000 0.000 0.000
Pt2 0.500 0.500 0.000
Se1 0.500 0.000 0.500
Ta1 0.000 0.500 0.500

---

Entry 8:
DFT (PBE) results for NdAsPt3 after structural relaxation.

Calculated values
energy above the most stable polymorph in this dataset = 829 meV/atom
space group = R3m (160)

Lattice parameters (Å, degrees): 5.018 5.018 5.018 99.67 99.67 99.67
Atoms (fractional coordinates):
Nd1 0.096 0.096 0.096
As1 0.688 0.688 0.688
Pt1 0.698 0.322 0.322
Pt2 0.322 0.698 0.322
Pt3 0.322 0.322 0.698

---

Entry 9:
DFT (PBE) results for La2Pm3Nd after structural relaxation.

Calculated values
energy above the most stable polymorph in this dataset = 366 meV/atom
space group = Ibam (72)

Lattice parameters (Å, degrees): 11.558 9.054 9.054 45.67 50.34 50.34
Each line ends with the local moment (μB).
Atoms (fractional coordinates):
La1 0.953 0.292 0.292  0.00
La2 0.537 0.208 0.208  0.00
La3 0.463 0.792 0.792  0.00
La4 0.047 0.708 0.708  0.00
Pm1 0.500 0.250 0.750  0.10
Pm2 0.500 0.750 0.250  0.10
Pm3 0.237 0.013 0.513  0.02
Pm4 0.763 0.487 0.987  0.02
Pm5 0.763 0.987 0.487  0.02
Pm6 0.237 0.513 0.013  0.02
Nd1 0.000 0.500 0.500  0.00
Nd2 0.000 0.000 0.000  0.00

---

Entry 10:
DFT (PBE) results for Mn2NiMo after structural relaxation.

Calculated values
space group = P4/mmm (123)
VASP energy = -34.8 eV/cell

Lattice parameters (Å, degrees): 3.704 3.704 3.542 90.00 90.00 90.00
Each line ends with the local moment (μB).
Atoms (fractional coordinates):
Mn1 0.000 0.000 0.000  1.14
Mn2 0.500 0.500 0.000  1.14
Mo1 0.500 0.000 0.500  -0.48
Ni1 0.000 0.500 0.500  -0.12

---

Entry 11:
DFT (PBE) results for LiMn2Pt after structural relaxation.

Calculated values
space group = P4mm (99)
VASP energy = -26.3 eV/cell

Lattice parameters (Å, degrees): 2.871 2.871 6.843 90.00 90.00 90.00
Each line ends with the local moment (μB).
Atoms (fractional coordinates):
Li1 0.500 0.500 0.737  0.00
Mn1 0.000 0.000 0.008  3.39
Mn2 0.500 0.500 0.253  3.10
Pt1 0.000 0.000 0.501  0.19

---

Entry 12:
DFT (PBE) results for CePm3Ga2 after structural relaxation.

Calculated values
space group = Cmmm (65)
VASP energy = -56.0 eV/cell

Lattice parameters (Å, degrees): 4.844 8.406 9.192 117.21 105.28 90.00
Atoms (fractional coordinates):
Ce1 0.000 0.500 0.000
Ce2 0.000 0.000 0.000
Pm1 0.500 0.250 0.000
Pm2 0.500 0.750 0.000
Pm3 0.821 0.071 0.642
Pm4 0.179 0.429 0.358
Pm5 0.179 0.929 0.358
Pm6 0.821 0.571 0.642
Ga1 0.351 0.351 0.702
Ga2 0.649 0.149 0.298
Ga3 0.351 0.851 0.702
Ga4 0.649 0.649 0.298

---

Entry 13:
DFT (PBE) results for KScBr2F after structural relaxation.

Calculated values
space group = P4/mmm (123)
ΔE_f (raw) = -2.08 eV/atom

Lattice parameters (Å, degrees): 5.644 5.644 4.163 90.00 90.00 90.00
Each line ends with the local moment (μB).
Atoms (fractional coordinates):
Sc1 0.000 0.000 0.000  0.73
K1 0.500 0.500 0.500  0.00
Br1 0.000 0.500 0.000  0.01
Br2 0.500 0.000 0.000  0.01
F1 0.000 0.000 0.500  -0.01

---

Entry 14:
DFT (PBE) results for DyNpS2 after structural relaxation.

Calculated values
energy above the most stable polymorph in this dataset = 0 meV/atom
space group = P6_3/mmc (194)
ΔE_f (raw) = -1.66 eV/atom

Lattice parameters (Å, degrees): 3.882 3.882 12.973 90.00 90.00 120.00
Each line ends with the local moment (μB).
Atoms (fractional coordinates):
Dy1 0.667 0.333 0.250  -0.08
Dy2 0.333 0.667 0.750  -0.08
Np1 0.000 0.000 0.500  3.94
Np2 0.000 0.000 0.000  3.94
S1 0.333 0.667 0.378  -0.05
S2 0.667 0.333 0.878  -0.05
S3 0.667 0.333 0.622  -0.05
S4 0.333 0.667 0.122  -0.05

---

Entry 15:
DFT (PBE) results for Sr2Pd5Pb4 after structural relaxation.

Calculated values
space group = Fmmm (69)
VASP energy = -48.6 eV/cell

Lattice parameters (Å, degrees): 6.190 6.168 8.980 80.04 69.84 59.88
Atoms (fractional coordinates):
Sr1 0.872 0.000 0.256
Sr2 0.128 0.000 0.744
Pd1 0.500 0.000 0.000
Pd2 0.000 0.500 0.000
Pd3 0.500 0.500 0.000
Pd4 0.250 0.500 0.500
Pd5 0.750 0.500 0.500
Pb1 0.469 0.319 0.743
Pb2 0.531 0.681 0.257
Pb3 0.212 0.319 0.257
Pb4 0.788 0.681 0.743

---

Entry 16:
DFT (PBE) results for GdTmCl after structural relaxation.

Calculated values
space group = P3m1 (156)
ΔE_f (raw) = -0.90 eV/atom

Lattice parameters (Å, degrees): 3.652 3.652 6.972 90.00 90.00 120.00
Each line ends with the local moment (μB).
Atoms (fractional coordinates):
Gd1 0.667 0.333 0.353  7.17
Tm1 0.000 0.000 0.975  0.12
Cl1 0.333 0.667 0.672  0.00

---

Entry 17:
DFT (PBE) results for SrDyCd2 after structural relaxation.

Calculated values
space group = P4/mmm (123)
VASP energy = -9.4 eV/cell

Lattice parameters (Å, degrees): 3.891 3.891 7.785 90.00 90.00 90.00
Atoms (fractional coordinates):
Sr1 0.500 0.500 0.500
Cd1 0.000 0.000 0.783
Cd2 0.000 0.000 0.217
Dy1 0.500 0.500 0.000

---

Entry 18:
DFT (PBE) results for Ca2Tl3Pd after structural relaxation.

Calculated values
space group = Pmm2 (25)
VASP energy = -18.6 eV/cell

Lattice parameters (Å, degrees): 3.707 4.955 8.750 90.00 90.00 90.00
Atoms (fractional coordinates):
Ca1 0.000 0.500 0.036
Ca2 0.000 0.000 0.479
Tl1 0.500 0.000 0.836
Tl2 0.500 0.000 0.179
Tl3 0.500 0.500 0.645
Pd1 0.500 0.500 0.325

---

Entry 19:
DFT (PBE) results for Li7CdAu2 after structural relaxation.

Calculated values
energy above the most stable polymorph in this dataset = 141 meV/atom
space group = Cmmm (65)

Lattice parameters (Å, degrees): 4.557 7.516 7.516 118.76 90.00 90.00
Atoms (fractional coordinates):
Li1 0.000 0.768 0.232
Li2 0.000 0.232 0.768
Li3 0.500 0.058 0.305
Li4 0.500 0.942 0.695
Li5 0.500 0.305 0.058
Li6 0.500 0.695 0.942
Li7 0.500 0.500 0.500
Cd1 0.000 0.000 0.000
Au1 0.500 0.696 0.304
Au2 0.500 0.304 0.696

---

Entry 20:
DFT (PBE) results for Dy4Tl5Cu2 after structural relaxation.

Calculated values
space group = P2/m (10)
VASP energy = -41.4 eV/cell

Lattice parameters (Å, degrees): 3.669 7.903 9.576 93.27 90.00 90.00
Atoms (fractional coordinates):
Dy1 0.500 0.785 0.574
Dy2 0.500 0.197 0.848
Dy3 0.500 0.215 0.426
Dy4 0.500 0.803 0.152
Tl1 0.000 0.549 0.338
Tl2 0.000 0.143 0.138
Tl3 0.000 0.500 0.000
Tl4 0.000 0.857 0.862
Tl5 0.000 0.451 0.662
Cu1 0.000 0.071 0.624
Cu2 0.000 0.929 0.376